MnGaH2O: optimized geometry, PBE with a Hubbard U.

Summary:
Symmetry ... R3m
E above lowest polymorph ... 0.107 eV per atom
Total magnetization ... 12.6 Bohr magnetons per cell

abc: 3.071 3.071 20.245
angles: 90.00 90.00 120.00
Sites, in units of the cell vectors:
Mn 0.000 0.000 0.486
Mn 0.333 0.667 0.153
Mn 0.667 0.333 0.819
Ga 0.000 0.000 0.929
Ga 0.333 0.667 0.595
Ga 0.667 0.333 0.262
H 0.000 0.000 0.114
H 0.333 0.667 0.780
H 0.667 0.333 0.447
H 0.000 0.000 0.704
H 0.333 0.667 0.371
H 0.667 0.333 0.038
O 0.000 0.000 0.655
O 0.333 0.667 0.322
O 0.667 0.333 0.988

***

MnGaH2O: optimized geometry, PBE with a Hubbard U.

Summary:
Symmetry ... Amm2
E above lowest polymorph ... 0.000 eV per atom
Total magnetization ... 4.9 Bohr magnetons per cell

abc: 3.242 3.470 5.644
angles: 90.00 106.69 90.00
Sites, in units of the cell vectors:
Mn 0.875 0.500 0.698
Ga 0.145 0.000 0.239
H 0.447 0.500 0.842
H 0.109 0.500 0.166
O 0.759 0.000 0.467

***

MnGaH2O: optimized geometry, PBE with a Hubbard U.

Summary:
Symmetry ... P3m1
E above lowest polymorph ... 0.105 eV per atom
Total magnetization ... 4.5 Bohr magnetons per cell

abc: 3.099 3.099 6.897
angles: 90.00 90.00 120.00
Sites, in units of the cell vectors:
Mn 0.000 0.000 0.466
Ga 0.333 0.667 0.787
H 0.333 0.667 0.343
H 0.667 0.333 0.106
O 0.667 0.333 0.962

***

Calculated values (states/eV/f.u.) of N(E_F) for the records, taken in order: 1.10 0.65 1.16.